DFT (meta-GGA SCAN) results for a crystal of YZrPt relaxed with PBEsol.

Computed properties:
SG: F-43m (216)
formation energy: 0.151 eV per atom
DOS at the Fermi energy: 0.754 states/eV per atom

a b c (Å): 4.577 4.577 4.577
angles (deg): 60.00 60.00 60.00
Fractional coordinates of all 3 atoms:
Pt 0.500 0.500 0.500
Y 0.250 0.250 0.250
Zr 0.000 0.000 0.000